(1)
The following is a PBE-GGA calculation of crystalline Mg6SnAu3 at its relaxed geometry, from Alexandria.

Its total energy is -2.72 eV/atom. The formation enthalpy at 0 K comes out at -0.382 eV per atom. The magnetic moment comes out at 0.00 μB/cell. The value obtained for the theoretical density is 6.55 g cm⁻³.

The structure belongs to space group P2_1/m (No. 11); the cell edges are 9.459, 4.523 and 10.936 Å and the angles 90.00°, 111.98° and 90.00°. Symmetry generates all atoms from Mg at (0.020, 0.250, 0.198), Mg at (0.117, 0.750, 0.582), Mg at (0.233, 0.750, 0.104), Mg at (0.355, 0.750, 0.449), Mg at (0.378, 0.250, 0.727), Mg at (0.398, 0.250, 0.014), Sn at (0.385, 0.250, 0.286), Au at (0.087, 0.250, 0.967), Au at (0.192, 0.250, 0.462) and Au at (0.289, 0.750, 0.854).

(2)
The following is a PBE-GGA calculation of crystalline MgSn2Au8 at its relaxed geometry, from Alexandria.

Its total energy is -3.45 eV/atom. The formation enthalpy at 0 K comes out at -0.189 eV per atom. The magnetic moment comes out at 0.00 μB/cell. The value obtained for the theoretical density is 13.94 g cm⁻³.

The structure belongs to space group Immm (No. 71); the cell edges are 4.173, 8.471 and 12.381 Å and the angles 90.00°, 90.00° and 90.00°. Symmetry generates all atoms from Mg at (0.000, 0.000, 0.000), Sn at (0.000, 0.000, 0.350), Au at (0.000, 0.249, 0.161), Au at (0.000, 0.264, 0.500) and Au at (0.000, 0.500, 0.328).

(3)
The following is a PBE-GGA calculation of crystalline Mg5SnAu3 at its relaxed geometry, from Alexandria.

Its total energy is -2.85 eV/atom. The formation enthalpy at 0 K comes out at -0.425 eV per atom. The magnetic moment comes out at 0.00 μB/cell. The value obtained for the theoretical density is 7.73 g cm⁻³.

The structure belongs to space group P6_3/mcm (No. 193); the cell edges are 8.3071, 8.3071 and 5.9754 Å and the angles 90.00°, 90.00° and 120.00°. Symmetry generates all atoms from Mg at (0.0000, 0.3258, 0.2500), Mg at (0.3333, 0.6667, 0.0000), Sn at (0.0000, 0.0000, 0.0000) and Au at (0.0000, 0.3530, 0.7500).

(4)
The following is a PBE-GGA calculation of crystalline Mg2SnAu6 at its relaxed geometry, from Alexandria.

Its total energy is -3.31 eV/atom. The formation enthalpy at 0 K comes out at -0.323 eV per atom. The magnetic moment comes out at 0.00 μB/cell. As for the excess energy over the best structure of this formula in the dataset: 18.1 meV per atom. The value obtained for the theoretical density is 13.35 g cm⁻³.

The structure belongs to space group C2/m (No. 12); the cell edges are 9.113, 4.323 and 8.791 Å and the angles 90.00°, 104.28° and 90.00°. Symmetry generates all atoms from Mg at (0.185, 0.000, 0.243), Sn at (0.000, 0.500, 0.000), Au at (0.011, 0.500, 0.334), Au at (0.160, 0.000, 0.891) and Au at (0.164, 0.000, 0.560).

(5)
The following is a PBE-GGA calculation of crystalline Mg3SnAu3 at its relaxed geometry, from Alexandria.

Its total energy is -3.10 eV/atom. The formation enthalpy at 0 K comes out at -0.440 eV per atom. The magnetic moment comes out at 0.00 μB/cell. The value obtained for the theoretical density is 9.24 g cm⁻³.

The structure belongs to space group P2_13 (No. 198); the cell edges are 8.254, 8.254 and 8.254 Å and the angles 90.00°, 90.00° and 90.00°. Symmetry generates all atoms from Mg at (0.118, 0.382, 0.618), Mg at (0.157, 0.843, 0.343), Mg at (0.205, 0.205, 0.205), Sn at (0.059, 0.559, 0.941) and Au at (0.014, 0.199, 0.900).

(6)
The following is a PBE-GGA calculation of crystalline Mg4SnAu3 at its relaxed geometry, from Alexandria.

Its total energy is -2.99 eV/atom. The formation enthalpy at 0 K comes out at -0.458 eV per atom. The magnetic moment comes out at 0.00 μB/cell. The value obtained for the theoretical density is 8.69 g cm⁻³.

The structure belongs to space group R-3m (No. 166, hexagonal axes); the cell edges are 4.7761, 4.7761 and 23.4185 Å and the angles 90.00°, 90.00° and 120.00°. Symmetry generates all atoms from Mg at (0.0000, 0.0000, 0.1180), Mg at (0.0000, 0.0000, 0.3693), Sn at (0.0000, 0.0000, 0.5000), Au at (0.0000, 0.0000, 0.0000) and Au at (0.0000, 0.0000, 0.2485).

(7)
The following is a PBE-GGA calculation of crystalline Mg2Sn2Au at its relaxed geometry, from Alexandria.

Its total energy is -3.01 eV/atom. The formation enthalpy at 0 K comes out at -0.119 eV per atom. The magnetic moment comes out at 0.00 μB/cell. As for the excess energy over the best structure of this formula in the dataset: 0.0 meV per atom. The value obtained for the theoretical density is 6.82 g cm⁻³.

The structure belongs to space group P4/mbm (No. 127); the cell edges are 7.164, 7.164 and 4.581 Å and the angles 90.00°, 90.00° and 90.00°. Symmetry generates all atoms from Mg at (0.152, 0.348, 0.000), Sn at (0.156, 0.656, 0.500) and Au at (0.000, 0.000, 0.000).

(8)
The following is a PBE-GGA calculation of crystalline MgSn3Au at its relaxed geometry, from Alexandria.

Its total energy is -3.06 eV/atom. The formation enthalpy at 0 K comes out at 0.316 eV per atom. The magnetic moment comes out at 0.00 μB/cell. As for the excess energy over the best structure of this formula in the dataset: 0.0 meV per atom. The value obtained for the theoretical density is 6.02 g cm⁻³.

The structure belongs to space group Pm-3m (No. 221); the cell edges are 5.421, 5.421 and 5.421 Å and the angles 90.00°, 90.00° and 90.00°. Symmetry generates all atoms from Mg at (0.000, 0.000, 0.000), Sn at (0.000, 0.500, 0.500) and Au at (0.500, 0.500, 0.500).

(9)
The following is a PBE-GGA calculation of crystalline Mg8Sn2Au at its relaxed geometry, from Alexandria.

Its total energy is -2.39 eV/atom. The formation enthalpy at 0 K comes out at -0.204 eV per atom. The magnetic moment comes out at 0.00 μB/cell. The value obtained for the theoretical density is 4.21 g cm⁻³.

The structure belongs to space group C2/m (No. 12); the cell edges are 16.371, 4.824 and 6.770 Å and the angles 90.00°, 111.80° and 90.00°. Symmetry generates all atoms from Mg at (0.018, 0.000, 0.291), Mg at (0.102, 0.500, 0.918), Mg at (0.153, 0.500, 0.427), Mg at (0.186, 0.000, 0.744), Sn at (0.181, 0.000, 0.181) and Au at (0.000, 0.500, 0.500).

(10)
The following is a PBE-GGA calculation of crystalline Mg8Sn2Au3 at its relaxed geometry, from Alexandria.

Its total energy is -2.70 eV/atom. The formation enthalpy at 0 K comes out at -0.346 eV per atom. The magnetic moment comes out at 0.00 μB/cell. The value obtained for the theoretical density is 5.74 g cm⁻³.

The structure belongs to space group P2/m (No. 10); the cell edges are 8.297, 4.625 and 8.345 Å and the angles 90.00°, 112.38° and 90.00°. Symmetry generates all atoms from Mg at (0.115, 0.000, 0.387), Mg at (0.130, 0.500, 0.872), Mg at (0.370, 0.500, 0.631), Mg at (0.376, 0.000, 0.125), Sn at (0.245, 0.500, 0.258), Au at (0.252, 0.000, 0.753) and Au at (0.500, 0.500, 0.000).

(11)
The following is a PBE-GGA calculation of crystalline Mg2SnAu8 at its relaxed geometry, from Alexandria.

Its total energy is -3.31 eV/atom. The formation enthalpy at 0 K comes out at -0.271 eV per atom. The magnetic moment comes out at 0.00 μB/cell. As for the excess energy over the best structure of this formula in the dataset: 0.0 meV per atom. The value obtained for the theoretical density is 13.84 g cm⁻³.

The structure belongs to space group C2/m (No. 12); the cell edges are 14.478, 6.591 and 4.591 Å and the angles 90.00°, 107.32° and 90.00°. Symmetry generates all atoms from Mg at (0.190, 0.000, 0.193), Sn at (0.000, 0.500, 0.500), Au at (0.000, 0.215, 0.000), Au at (0.145, 0.218, 0.651) and Au at (0.175, 0.500, 0.180).

(12)
The following is a PBE-GGA calculation of crystalline Mg3SnAu2 at its relaxed geometry, from Alexandria.

Its total energy is -3.01 eV/atom. The formation enthalpy at 0 K comes out at -0.452 eV per atom. The magnetic moment comes out at 0.00 μB/cell. The value obtained for the theoretical density is 8.08 g cm⁻³.

The structure belongs to space group P4/mmm (No. 123); the cell edges are 3.338, 3.338 and 10.803 Å and the angles 90.00°, 90.00° and 90.00°. Symmetry generates all atoms from Mg at (0.000, 0.000, 0.000), Mg at (0.000, 0.000, 0.299), Sn at (0.500, 0.500, 0.500) and Au at (0.500, 0.500, 0.151).